VASP calculation (PBE-GGA) on an optimized crystal structure of LiCeI4.

formation energy without anion corrections = -1.2519 eV per atom
DOS at the Fermi energy = 1.300 states/eV/atom
total magnetic moment = 0.167 μB per atom
offset from the most stable computed form = 0.028 eV/atom

Unit cell a=8.8271 b=18.9433 c=7.7658 alpha=90.00 beta=124.51 gamma=90.00
Space group C2/c (No. 15)
Symmetry-distinct sites (fractional):
Li 0.0000 0.1685 0.2500 [4 per cell]
Ce 0.0000 0.3258 0.7500 [4 per cell]
I 0.2405 0.0713 0.2552 [8 per cell]
I 0.2400 0.2984 0.2440 [8 per cell]